No. 1
# KNdSc4Se8

A geometry-optimized KNdSc4Se8 structure (GGA-PBE, the Alexandria database).

Cell lengths 8.4840, 8.4840, 8.4840 Å; angles 57.30, 57.30, 57.30 degrees
Atoms (fractional coordinates):
K1 0.0000 0.0000 0.0000
Nd1 0.6423 0.6423 0.6423
Sc1 0.1220 0.6410 0.6410
Sc2 0.2647 0.2647 0.2647
Sc3 0.6410 0.1220 0.6410
Sc4 0.6410 0.6410 0.1220
Se1 0.3855 0.3855 0.8750
Se2 0.3855 0.8750 0.3855
Se3 0.3945 0.3945 0.3945
Se4 0.4292 0.8870 0.8870
Se5 0.8652 0.8652 0.8652
Se6 0.8750 0.3855 0.3855
Se7 0.8870 0.4292 0.8870
Se8 0.8870 0.8870 0.4292

Summary:
energy relative to the elements, uncorrected: -1.581 eV per atom
crystal system: trigonal
space-group type: R3m
final energy: -5.801 eV/atom
total magnetic moment: 0.0 μB/f.u.



No. 2
# Ac11Tl9Cu4

A geometry-optimized Ac11Tl9Cu4 structure (GGA-PBE, the Alexandria database).

Cell lengths 14.2786, 14.2786, 4.0923 Å; angles 90.00, 90.00, 112.96 degrees
Atoms (fractional coordinates):
Ac1 0.0000 0.0000 0.0000
Ac2 0.0768 0.4154 0.0000
Ac3 0.1651 0.8349 0.0000
Ac4 0.3073 0.3073 0.0000
Ac5 0.3724 0.6276 0.0000
Ac6 0.4154 0.0768 0.0000
Ac7 0.5846 0.9232 0.0000
Ac8 0.6276 0.3724 0.0000
Ac9 0.6927 0.6927 0.0000
Ac10 0.8349 0.1651 0.0000
Ac11 0.9232 0.5846 0.0000
Tl1 0.0745 0.2178 0.5000
Tl2 0.1575 0.6309 0.5000
Tl3 0.2178 0.0745 0.5000
Tl4 0.3691 0.8425 0.5000
Tl5 0.5000 0.5000 0.5000
Tl6 0.6309 0.1575 0.5000
Tl7 0.7822 0.9255 0.5000
Tl8 0.8425 0.3691 0.5000
Tl9 0.9255 0.7822 0.5000
Cu1 0.2516 0.4493 0.5000
Cu2 0.4493 0.2516 0.5000
Cu3 0.5507 0.7484 0.5000
Cu4 0.7484 0.5507 0.5000

Summary:
crystal system: orthorhombic
space-group type: Cmmm
formation energy from the elements: -7.01 eV per formula unit
final energy: -3.745 eV/atom
total magnetic moment: 0.0 μB/f.u.



No. 3
# TbErSb2

A geometry-optimized TbErSb2 structure (GGA-PBE, the Alexandria database).

Cell lengths 4.3431, 4.3431, 22.2299 Å; angles 90.00, 90.00, 120.00 degrees
Atoms (fractional coordinates):
Tb1 0.0000 0.0000 0.0000
Tb2 0.3333 0.6667 0.6667
Tb3 0.6667 0.3333 0.3333
Er1 0.0000 0.0000 0.8294
Er2 0.3333 0.6667 0.4960
Er3 0.6667 0.3333 0.1627
Sb1 0.0000 0.0000 0.2458
Sb2 0.0000 0.0000 0.4173
Sb3 0.3333 0.6667 0.0840
Sb4 0.3333 0.6667 0.9124
Sb5 0.6667 0.3333 0.5791
Sb6 0.6667 0.3333 0.7507

Summary:
energy relative to the elements, uncorrected: -1.013 eV per atom
crystal system: trigonal
space-group type: R3m
final energy: -5.373 eV/atom
total magnetic moment: 0.0 μB/f.u.



No. 4
# K2TlSn2

A geometry-optimized K2TlSn2 structure (GGA-PBE, the Alexandria database).

Cell lengths 4.2347, 4.2347, 22.3788 Å; angles 90.00, 90.00, 90.00 degrees
Atoms (fractional coordinates):
K1 0.0000 0.0000 0.1085
K2 0.0000 0.0000 0.8915
K3 0.5000 0.5000 0.3915
K4 0.5000 0.5000 0.6085
Tl1 0.0000 0.0000 0.5000
Tl2 0.5000 0.5000 0.0000
Sn1 0.0000 0.5000 0.2500
Sn2 0.0000 0.5000 0.7500
Sn3 0.5000 0.0000 0.2500
Sn4 0.5000 0.0000 0.7500

Summary:
crystal system: tetragonal
space-group type: I4/mmm
formation energy from the elements: 0.05 eV per formula unit
final energy: -2.503 eV/atom
total magnetic moment: 0.0 μB/f.u.



No. 5
# Sr2Mg4Sn3Bi

A geometry-optimized Sr2Mg4Sn3Bi structure (GGA-PBE, the Alexandria database).

Cell lengths 4.9336, 4.9336, 12.0347 Å; angles 90.00, 90.00, 90.00 degrees
Atoms (fractional coordinates):
Sr1 0.0000 0.5000 0.2487
Sr2 0.5000 0.0000 0.7513
Mg1 0.0000 0.0000 0.5000
Mg2 0.0000 0.5000 0.8644
Mg3 0.5000 0.0000 0.1356
Mg4 0.5000 0.5000 0.5000
Sn1 0.0000 0.0000 0.0000
Sn2 0.0000 0.5000 0.6355
Sn3 0.5000 0.0000 0.3645
Bi1 0.5000 0.5000 0.0000

Summary:
crystal system: tetragonal
space-group type: P-4m2
formation energy from the elements: -4.17 eV per formula unit
final energy: -2.980 eV/atom
total magnetic moment: 0.0 μB/f.u.



No. 6
# SrMoIN2

A geometry-optimized SrMoIN2 structure (GGA-PBE, the Alexandria database).

Cell lengths 4.1771, 4.1771, 5.5783 Å; angles 90.00, 90.00, 90.00 degrees
Atoms (fractional coordinates):
Sr1 0.0000 0.0000 0.0000
Mo1 0.5000 0.5000 0.5000
I1 0.5000 0.5000 0.0000
N1 0.0000 0.5000 0.5000
N2 0.5000 0.0000 0.5000

Summary:
energy relative to the elements, uncorrected: 0.103 eV per atom
crystal system: tetragonal
space-group type: P4/mmm
final energy: -6.040 eV/atom
total magnetic moment: 0.0 μB/f.u.